# La2HfAu2

Crystalline La2HfAu2 at its relaxed geometry (PBE-GGA, the Alexandria database).

Calculated total energy in hartree per atom: -0.20948
E_form in eV/atom: -0.43
SG: No. 127

a b c (Å): 8.1231 8.1231 4.0294
angles (deg): 90.00 90.00 90.00
Last column: nearest neighbours and their distance in Å.
Fractional positions:
1 Au 0.8684 0.6316 0.0000  6 La 3.02-3.21, 1 Au 3.02, 2 Hf 3.18
2 Au 0.3684 0.8684 0.0000  6 La 3.02-3.21, 1 Au 3.02, 2 Hf 3.18
3 Au 0.6316 0.1316 0.0000  6 La 3.02-3.21, 1 Au 3.02, 2 Hf 3.18
4 Au 0.1316 0.3684 0.0000  6 La 3.02-3.21, 1 Au 3.02, 2 Hf 3.18
5 La 0.3271 0.1729 0.5000  6 Au 3.02-3.21
6 La 0.1729 0.6729 0.5000  6 Au 3.02-3.21
7 La 0.8271 0.3271 0.5000  6 Au 3.02-3.21
8 La 0.6729 0.8271 0.5000  6 Au 3.02-3.21
9 Hf 0.0000 0.0000 0.0000  4 Au 3.18
10 Hf 0.5000 0.5000 0.0000  4 Au 3.18



# LaHf2Au

Crystalline LaHf2Au at its relaxed geometry (PBE-GGA, the Alexandria database).

Calculated total energy in hartree per atom: -0.25366
E_form in eV/atom: 0.13
Energy above the most stable polymorph in this dataset in eV/atom: 0.065
SG: No. 122

a b c (Å): 8.2502 8.2502 6.5899
angles (deg): 51.25 51.25 90.00
Last column: nearest neighbours and their distance in Å.
Fractional positions:
1 La 0.5000 0.5000 0.0000  2 Au 3.07, 4 Hf 3.33
2 La 0.2500 0.7500 0.5000  2 Au 3.07, 4 Hf 3.33
3 Hf 0.0728 0.6250 0.2500  2 Au 2.74
4 Hf 0.8750 0.9272 0.7500  2 Au 2.74
5 Hf 0.3750 0.3228 0.7500  2 Au 2.74
6 Hf 0.6772 0.1250 0.2500  2 Au 2.74
7 Au 0.0000 0.0000 0.0000  4 Hf 2.74, 2 La 3.07
8 Au 0.7500 0.2500 0.5000  4 Hf 2.74, 2 La 3.07



# LaHf2Au

Crystalline LaHf2Au at its relaxed geometry (PBE-GGA, the Alexandria database).

Calculated total energy in hartree per atom: -0.25603
E_form in eV/atom: 0.06
Energy above the most stable polymorph in this dataset in eV/atom: 0.000
SG: No. 225

a b c (Å): 4.9664 4.9664 4.9664
angles (deg): 60.00 60.00 60.00
Last column: nearest neighbours and their distance in Å.
Fractional positions:
1 La 0.0000 0.0000 0.0000  8 Hf 3.04
2 Hf 0.7500 0.7500 0.7500  4 Au 3.04, 4 La 3.04
3 Hf 0.2500 0.2500 0.2500  4 Au 3.04, 4 La 3.04
4 Au 0.5000 0.5000 0.5000  8 Hf 3.04



# LaHfAuN2

Crystalline LaHfAuN2 at its relaxed geometry (PBE-GGA, the Alexandria database).

Calculated total energy in hartree per atom: -0.21171
Raw formation energy in eV/f.u.: 6.0
SG: No. 123

a b c (Å): 4.1595 6.7829 4.1595
angles (deg): 90.00 90.00 90.00
Last column: nearest neighbours and their distance in Å.
Fractional positions:
1 Au 0.5000 0.5000 0.5000  4 Hf 2.94
2 N 0.0000 0.0000 0.5000  2 La 2.08
3 N 0.5000 0.0000 0.0000  2 La 2.08
4 Hf 0.0000 0.5000 0.0000  4 Au 2.94
5 La 0.0000 0.0000 0.0000  4 N 2.08



# La2HfAuN

Crystalline La2HfAuN at its relaxed geometry (PBE-GGA, the Alexandria database).

Calculated total energy in hartree per atom: -0.26006
Raw formation energy in eV/f.u.: -4.0
SG: No. 123

a b c (Å): 5.2338 5.2338 4.2615
angles (deg): 90.00 90.00 90.00
Last column: nearest neighbours and their distance in Å.
Fractional positions:
1 Au 0.5000 0.5000 0.5000  8 La 3.37, 4 Hf 3.70
2 Hf 0.0000 0.0000 0.5000  2 N 2.13
3 N 0.0000 0.0000 0.0000  2 Hf 2.13
4 La 0.0000 0.5000 0.0000  2 N 2.62
5 La 0.5000 0.0000 0.0000  2 N 2.62



# LaHfRe2Au

Crystalline LaHfRe2Au at its relaxed geometry (PBE-GGA, the Alexandria database).

Calculated total energy in hartree per atom: -0.25285
E_form in eV/atom: 1.73
SG: No. 123

a b c (Å): 4.7920 5.5677 4.7920
angles (deg): 90.00 90.00 90.00
Last column: nearest neighbours and their distance in Å.
Fractional positions:
1 La 0.0000 0.5000 0.0000  2 Hf 2.78
2 Hf 0.0000 0.0000 0.0000  4 Re 2.40
3 Re 0.5000 0.0000 0.0000  2 Hf 2.40
4 Re 0.0000 0.0000 0.5000  2 Hf 2.40
5 Au 0.5000 0.5000 0.5000  4 La 3.39, 8 Re 3.67



# LaHf2SbAu

Crystalline LaHf2SbAu at its relaxed geometry (PBE-GGA, the Alexandria database).

Calculated total energy in hartree per atom: -0.22185
Raw formation energy in eV/f.u.: 2.0
SG: No. 123

a b c (Å): 5.1892 5.4865 5.1892
angles (deg): 90.00 90.00 90.00
Last column: nearest neighbours and their distance in Å.
Fractional positions:
1 Au 0.0000 0.0000 0.0000  4 Hf 2.59, 2 Sb 2.74
2 Sb 0.0000 0.5000 0.0000  2 Au 2.74
3 Hf 0.0000 0.0000 0.5000  2 Au 2.59
4 Hf 0.5000 0.0000 0.0000  2 Au 2.59
5 La 0.5000 0.5000 0.5000  4 Sb 3.67, 8 Hf 3.78



# LaHf2SnAu

Crystalline LaHf2SnAu at its relaxed geometry (PBE-GGA, the Alexandria database).

Calculated total energy in hartree per atom: -0.22117
E_form in eV/atom: 0.40
SG: No. 123

a b c (Å): 5.2461 5.2412 5.2461
angles (deg): 90.00 90.00 90.00
Last column: nearest neighbours and their distance in Å.
Fractional positions:
1 Sn 0.0000 0.5000 0.0000  2 Au 2.62
2 Au 0.0000 0.0000 0.0000  2 Sn 2.62, 4 Hf 2.62
3 Hf 0.5000 0.0000 0.0000  2 Au 2.62
4 Hf 0.0000 0.0000 0.5000  2 Au 2.62
5 La 0.5000 0.5000 0.5000  8 Hf 3.71, 4 Sn 3.71